A relaxed Mg2MnP crystal, computed with PBE.

Unit cell a=3.0285 b=3.0285 c=26.5444 alpha=90.00 beta=90.00 gamma=120.00
Space group R-3m (No. 166, hexagonal axes)
Symmetry-distinct sites (fractional):
Mg  0.0000  0.0000  0.2477
Mn  0.0000  0.0000  0.0000
P  0.0000  0.0000  0.5000

Properties
DFT formation energy (eV/atom): 0.199
Magnetic moment (μB/atom): 0.890